[1]
K2BeSiSe4 | PBE | relaxed

Lattice parameters (Å, degrees): 13.8047 12.3245 7.4200 84.86 62.77 32.37
Fractional positions:
K (0.0569, 0.0569, 0.6931)
K (0.3069, 0.3069, 0.9431)
K (0.6931, 0.6931, 0.0569)
K (0.9431, 0.9431, 0.3069)
Be (0.1250, 0.1250, 0.1250)
Be (0.8750, 0.8750, 0.8750)
Si (0.3750, 0.3750, 0.3750)
Si (0.6250, 0.6250, 0.6250)
Se (0.0213, 0.3322, 0.4141)
Se (0.2677, 0.5859, 0.6678)
Se (0.3322, 0.0213, 0.7323)
Se (0.4141, 0.7323, 0.0213)
Se (0.5859, 0.2677, 0.9787)
Se (0.6678, 0.9787, 0.2677)
Se (0.7323, 0.4141, 0.3322)
Se (0.9787, 0.6678, 0.5859)

Its formation energy from raw total energies is -0.92 eV/atom. As for the space-group type: Fddd, No. 70.

=====

[2]
K2SmBe2Se4 | PBE | relaxed

Lattice parameters (Å, degrees): 7.9599 7.9599 8.2747 111.82 111.82 28.12
Fractional positions:
K (0.1268, 0.1268, 0.0498)
K (0.8732, 0.8732, 0.9502)
Sm (0.0000, 0.0000, 0.5000)
Be (0.3303, 0.3303, 0.5240)
Be (0.6697, 0.6697, 0.4760)
Se (0.2092, 0.2092, 0.6463)
Se (0.4685, 0.4685, 0.7429)
Se (0.5315, 0.5315, 0.2571)
Se (0.7908, 0.7908, 0.3537)

Its formation energy from raw total energies is -1.07 eV/atom. As for the space-group type: C2/m, No. 12.

=====

[3]
K2BeSnSe | PBE | relaxed

Lattice parameters (Å, degrees): 6.8065 6.8065 5.3546 90.00 90.00 90.00
Fractional positions:
K (0.0000, 0.5000, 0.0000)
K (0.5000, 0.0000, 0.0000)
Be (0.0000, 0.0000, 0.5000)
Sn (0.5000, 0.5000, 0.0000)
Se (0.5000, 0.5000, 0.5000)

Its formation energy from raw total energies is 0.52 eV/atom. As for the space-group type: P4/mmm, No. 123.

=====

[4]
K2TbBe2Se4 | PBE | relaxed

Lattice parameters (Å, degrees): 7.9026 7.9026 8.1038 110.73 110.73 28.21
Fractional positions:
K (0.1282, 0.1282, 0.0456)
K (0.8718, 0.8718, 0.9544)
Tb (0.0000, 0.0000, 0.5000)
Be (0.3323, 0.3323, 0.5165)
Be (0.6677, 0.6677, 0.4835)
Se (0.2062, 0.2062, 0.6511)
Se (0.4678, 0.4678, 0.7399)
Se (0.5322, 0.5322, 0.2601)
Se (0.7938, 0.7938, 0.3489)

Its formation energy from raw total energies is -1.07 eV/atom. As for the space-group type: C2/m, No. 12.

=====

[5]
K3Th3BeSe8 | PBE | relaxed

Lattice parameters (Å, degrees): 8.3757 8.3757 9.2599 116.88 116.88 60.00
Fractional positions:
K (0.0000, 0.0000, 0.0000)
K (0.0000, 0.5000, 0.0000)
K (0.5000, 0.0000, 0.0000)
Th (0.0000, 0.5000, 0.5000)
Th (0.5000, 0.0000, 0.5000)
Th (0.5000, 0.5000, 0.5000)
Be (0.0000, 0.0000, 0.5000)
Se (0.2127, 0.2127, 0.6846)
Se (0.2152, 0.7568, 0.6867)
Se (0.2432, 0.7848, 0.3133)
Se (0.2597, 0.2597, 0.2783)
Se (0.7403, 0.7403, 0.7217)
Se (0.7568, 0.2152, 0.6867)
Se (0.7848, 0.2432, 0.3133)
Se (0.7873, 0.7873, 0.3154)

Its formation energy from raw total energies is -1.38 eV/atom. As for the space-group type: C2/m, No. 12.

=====

[6]
KBeTlSe2 | PBE | relaxed

Lattice parameters (Å, degrees): 7.4276 5.0038 8.9278 90.00 92.84 90.00
Fractional positions:
K (0.0000, 0.2271, 0.2500)
K (0.0000, 0.7729, 0.7500)
Be (0.5000, 0.5000, 0.0000)
Be (0.5000, 0.5000, 0.5000)
Tl (0.5000, 0.0616, 0.2500)
Tl (0.5000, 0.9384, 0.7500)
Se (0.2627, 0.3251, 0.9372)
Se (0.2627, 0.6749, 0.4372)
Se (0.7373, 0.3251, 0.5628)
Se (0.7373, 0.6749, 0.0628)

Its formation energy from raw total energies is -0.64 eV/atom. As for the space-group type: P2/c, No. 13.

=====

[7]
K4U3BeSe8 | PBE | relaxed

Lattice parameters (Å, degrees): 8.3317 8.3317 9.0725 117.43 117.43 59.30
Fractional positions:
K (0.0000, 0.0000, 0.0000)
K (0.0000, 0.5000, 0.0000)
K (0.5000, 0.0000, 0.0000)
K (0.5000, 0.5000, 0.0000)
U (0.0000, 0.0000, 0.5000)
U (0.0000, 0.5000, 0.5000)
U (0.5000, 0.0000, 0.5000)
Be (0.5000, 0.5000, 0.5000)
Se (0.2364, 0.2364, 0.7119)
Se (0.2610, 0.7111, 0.6867)
Se (0.2645, 0.2645, 0.2932)
Se (0.2889, 0.7390, 0.3133)
Se (0.7111, 0.2610, 0.6867)
Se (0.7355, 0.7355, 0.7068)
Se (0.7390, 0.2889, 0.3133)
Se (0.7636, 0.7636, 0.2881)

Its formation energy from raw total energies is -1.07 eV/atom. As for the space-group type: C2/m, No. 12.

=====

[8]
K2U2BeSe6 | PBE | relaxed

Lattice parameters (Å, degrees): 7.2795 7.2795 8.1868 97.59 97.59 123.87
Fractional positions:
K (0.1558, 0.8442, 0.0000)
K (0.8442, 0.1558, 0.0000)
U (0.3337, 0.6663, 0.5000)
U (0.6663, 0.3337, 0.5000)
Be (0.0000, 0.0000, 0.5000)
Se (0.0619, 0.4183, 0.7059)
Se (0.2138, 0.2138, 0.3421)
Se (0.4183, 0.0619, 0.7059)
Se (0.5817, 0.9381, 0.2941)
Se (0.7862, 0.7862, 0.6579)
Se (0.9381, 0.5817, 0.2941)

Its formation energy from raw total energies is -1.03 eV/atom. As for the space-group type: C2/m, No. 12.

=====

[9]
K2UBeSe5 | PBE | relaxed

Lattice parameters (Å, degrees): 9.8918 9.8918 14.2181 90.00 90.00 156.54
Fractional positions:
K (0.1180, 0.8820, 0.5000)
K (0.1188, 0.8812, 0.1443)
K (0.8812, 0.1188, 0.6443)
K (0.8820, 0.1180, 0.0000)
U (0.2005, 0.7995, 0.8362)
U (0.7995, 0.2005, 0.3362)
Be (0.4222, 0.5778, 0.2379)
Be (0.5778, 0.4222, 0.7379)
Se (0.0615, 0.9385, 0.8267)
Se (0.3015, 0.6985, 0.4681)
Se (0.3067, 0.6933, 0.2000)
Se (0.3337, 0.6663, 0.8240)
Se (0.4865, 0.5135, 0.1146)
Se (0.5135, 0.4865, 0.6146)
Se (0.6663, 0.3337, 0.3240)
Se (0.6933, 0.3067, 0.7000)
Se (0.6985, 0.3015, 0.9681)
Se (0.9385, 0.0615, 0.3267)

Its formation energy from raw total energies is -0.98 eV/atom. As for the space-group type: Cmc2_1, No. 36.

=====

[10]
KYBeSe2 | PBE | relaxed

Lattice parameters (Å, degrees): 4.9590 4.9590 4.7050 90.00 90.00 90.00
Fractional positions:
K (0.0000, 0.0000, 0.0000)
Y (0.5000, 0.5000, 0.0000)
Be (0.0000, 0.0000, 0.5000)
Se (0.0000, 0.5000, 0.5000)
Se (0.5000, 0.0000, 0.5000)

Its formation energy from raw total energies is 0.00 eV/atom. As for the space-group type: P4/mmm, No. 123.

=====

[11]
KYBeSe3 | PBE | relaxed

Lattice parameters (Å, degrees): 9.2770 4.0106 9.5000 90.00 108.38 90.00
Fractional positions:
K (0.2005, 0.2500, 0.2312)
K (0.7995, 0.7500, 0.7688)
Y (0.3321, 0.7500, 0.8527)
Y (0.6679, 0.2500, 0.1473)
Be (0.0768, 0.2500, 0.6025)
Be (0.9232, 0.7500, 0.3975)
Se (0.1101, 0.2500, 0.8437)
Se (0.1745, 0.7500, 0.5278)
Se (0.4581, 0.7500, 0.1676)
Se (0.5419, 0.2500, 0.8324)
Se (0.8255, 0.2500, 0.4722)
Se (0.8899, 0.7500, 0.1563)

Its formation energy from raw total energies is -1.41 eV/atom. As for the space-group type: P2_1/m, No. 11.

=====

[12]
K2YBe2Se4 | PBE | relaxed

Lattice parameters (Å, degrees): 7.8956 7.8956 8.0782 110.61 110.61 28.23
Fractional positions:
K (0.1282, 0.1282, 0.0450)
K (0.8718, 0.8718, 0.9550)
Y (0.0000, 0.0000, 0.5000)
Be (0.3321, 0.3321, 0.5160)
Be (0.6679, 0.6679, 0.4840)
Se (0.2060, 0.2060, 0.6518)
Se (0.4677, 0.4677, 0.7391)
Se (0.5323, 0.5323, 0.2609)
Se (0.7940, 0.7940, 0.3482)

Its formation energy from raw total energies is -1.08 eV/atom. As for the space-group type: C2/m, No. 12.